Material: VFe4Ir
Method: DFT, PBE-GGA
State: optimized geometry

Cell: 4.830 4.830 5.773 Å, 107.50 107.50 35.63°
Sites, in units of the cell vectors:
V 0.000 0.000 0.000
Fe 0.327 0.327 0.671
Fe 0.330 0.330 0.157
Fe 0.670 0.670 0.843
Fe 0.673 0.673 0.329
Ir 0.000 0.000 0.500

As for the density of states at the Fermi level: 5.121 states/eV/cell. The energy relative to the lowest polymorph listed for this composition comes out at 0 meV per atom. The calculation puts the energy relative to the elements at -0.66 eV/f.u. Its volume is 74 Å³ per cell. For the total magnetic moment, the calculation gives 8.672 μB/f.u.



Material: Pm4InRu2
Method: DFT, PBE-GGA
State: optimized geometry

Cell: 10.268 10.268 10.268 Å, 26.78 26.78 26.78°
Sites, in units of the cell vectors:
Pm 0.109 0.109 0.109
Pm 0.297 0.297 0.297
Pm 0.703 0.703 0.703
Pm 0.891 0.891 0.891
In 0.500 0.500 0.500
Ru 0.405 0.405 0.405
Ru 0.595 0.595 0.595

As for the density of states at the Fermi level: 5.997 states/eV/cell. The calculation puts the energy relative to the elements at -1.41 eV/f.u. Its volume is 194 Å³ per cell. For the total magnetic moment, the calculation gives 0.000 μB/f.u.



Material: LiSm5S6
Method: DFT, PBE-GGA
State: optimized geometry

Cell: 6.892 6.892 6.903 Å, 99.61 99.61 120.00°
Sites, in units of the cell vectors:
Li 0.000 0.000 0.000
Sm 0.166 0.834 0.500
Sm 0.334 0.666 0.000
Sm 0.500 0.500 0.500
Sm 0.666 0.334 0.000
Sm 0.834 0.166 0.500
S 0.081 0.406 0.245
S 0.242 0.242 0.758
S 0.406 0.081 0.245
S 0.594 0.919 0.755
S 0.758 0.758 0.242
S 0.919 0.594 0.755

As for the density of states at the Fermi level: 4.525 states/eV/cell. The formation energy (no corrections) is -1.9670 eV/atom. Its volume is 268 Å³ per cell. For the total magnetic moment, the calculation gives 0.000 μB/f.u.



Material: Zn4CuCl
Method: DFT, PBE-GGA
State: optimized geometry

Cell: 5.262 5.262 5.262 Å, 60.00 60.00 60.00°
Sites, in units of the cell vectors:
Zn 0.376 0.376 0.376
Zn 0.376 0.376 0.871
Zn 0.376 0.871 0.376
Zn 0.871 0.376 0.376
Cu 0.750 0.750 0.750
Cl 0.000 0.000 0.000

As for the density of states at the Fermi level: 4.312 states/eV/cell. The formation energy (no corrections) is 0.2294 eV/atom. Its volume is 103 Å³ per cell. For the total magnetic moment, the calculation gives 0.000 μB/f.u.